No. 1
DFT (GGA-PBE) results for MgOs2S after structural relaxation.

POSCAR file:
```
MgOs2S
1.0
0.000 3.031 3.031
3.031 0.000 3.031
3.031 3.031 0.000
Mg Os S
1 2 1
direct
0.000 0.000 0.000
0.250 0.250 0.250
0.750 0.750 0.750
0.500 0.500 0.500
```

For the total DFT energy (no corrections), the calculation gives -6.352 eV/atom. The total moment comes out at 0.0 μB/f.u. Its excess energy over the best structure of this formula in the dataset is 274 meV per atom. The formation energy without anion corrections is 693 meV/atom.



No. 2
DFT (GGA-PBE) results for Mg3OsS after structural relaxation.

POSCAR file:
```
Mg3OsS
1.0
4.635 0.000 0.000
0.000 4.635 0.000
0.000 0.000 4.635
Mg Os S
3 1 1
direct
0.000 0.000 0.500
0.000 0.500 0.000
0.500 0.000 0.000
0.500 0.500 0.500
0.000 0.000 0.000
```

For the total DFT energy (no corrections), the calculation gives -3.591 eV/atom. The total moment comes out at 0.3 μB/f.u. Its excess energy over the best structure of this formula in the dataset is 0 meV per atom. The formation energy without anion corrections is 437 meV/atom.



No. 3
DFT (GGA-PBE) results for MgOsS2 after structural relaxation.

POSCAR file:
```
MgOsS2
1.0
-2.679 2.679 5.682
2.679 -2.679 5.682
2.679 2.679 -5.682
Mg Os S
2 2 4
direct
0.000 0.000 0.000
0.750 0.250 0.500
0.250 0.750 0.500
0.500 0.500 0.000
0.156 0.625 0.031
0.375 0.406 0.531
0.594 0.125 0.969
0.875 0.844 0.469
```

For the total DFT energy (no corrections), the calculation gives -5.520 eV/atom. The total moment comes out at 0.0 μB/f.u. The formation energy without anion corrections is -250 meV/atom.



No. 4
DFT (GGA-PBE) results for MgOs2S after structural relaxation.

POSCAR file:
```
MgOs2S
1.0
-3.554 3.554 2.548
3.554 -3.554 2.548
3.554 3.554 -2.548
Mg Os S
2 4 2
direct
0.000 0.000 0.000
0.750 0.250 0.500
0.212 0.625 0.087
0.375 0.462 0.587
0.538 0.125 0.913
0.875 0.788 0.413
0.250 0.750 0.500
0.500 0.500 0.000
```

For the total DFT energy (no corrections), the calculation gives -6.626 eV/atom. The total moment comes out at 0.0 μB/f.u. Its excess energy over the best structure of this formula in the dataset is 0 meV per atom. The formation energy without anion corrections is 419 meV/atom.



No. 5
DFT (GGA-PBE) results for Mg2SbOsS after structural relaxation.

POSCAR file:
```
Mg2SbOsS
1.0
5.328 0.000 0.000
0.000 5.328 0.000
0.000 0.000 4.237
Mg Sb Os S
2 1 1 1
direct
0.000 0.500 0.000
0.500 0.000 0.000
0.000 0.000 0.500
0.500 0.500 0.000
0.500 0.500 0.500
```

For the total DFT energy (no corrections), the calculation gives -4.325 eV/atom. The total moment comes out at 0.0 μB/f.u. The formation energy without anion corrections is 209 meV/atom.



No. 6
DFT (GGA-PBE) results for YMgOsS2 after structural relaxation.

POSCAR file:
```
YMgOsS2
1.0
4.706 0.000 0.000
0.000 4.706 0.000
0.000 0.000 4.780
Y Mg Os S
1 1 1 2
direct
0.000 0.000 0.000
0.500 0.500 0.000
0.500 0.500 0.500
0.000 0.500 0.500
0.500 0.000 0.500
```

For the total DFT energy (no corrections), the calculation gives -5.409 eV/atom. The total moment comes out at 0.0 μB/f.u. The formation energy without anion corrections is 100 meV/atom.



No. 7
DFT (GGA-PBE) results for MgZr2OsS after structural relaxation.

POSCAR file:
```
MgZr2OsS
1.0
4.812 0.000 0.000
0.000 4.812 0.000
0.000 0.000 4.417
Mg Zr Os S
1 2 1 1
direct
0.000 0.000 0.000
0.000 0.500 0.500
0.500 0.000 0.500
0.500 0.500 0.000
0.500 0.500 0.500
```

For the total DFT energy (no corrections), the calculation gives -6.904 eV/atom. The total moment comes out at 0.0 μB/f.u. The formation energy without anion corrections is -95 meV/atom.



No. 8
DFT (GGA-PBE) results for Mg3SbOs after structural relaxation.

POSCAR file:
```
Mg3SbOs
1.0
4.993 0.000 0.000
0.000 4.993 0.000
0.000 0.000 4.993
Mg Sb Os
3 1 1
direct
0.000 0.000 0.500
0.000 0.500 0.000
0.500 0.000 0.000
0.500 0.500 0.500
0.000 0.000 0.000
```

For the total DFT energy (no corrections), the calculation gives -3.486 eV/atom. The total moment comes out at 0.0 μB/f.u. Its excess energy over the best structure of this formula in the dataset is 0 meV per atom. The formation energy without anion corrections is 541 meV/atom.